Compound: LiAlFe2
Source: Alexandria via LeMat-Bulk
Functional: PBE-GGA
Structure: optimized geometry

VASP energy	-5.6531	eV per atom
formation enthalpy at 0 K	-0.008	eV/atom
D(E_F)	4.96	states/eV per cell
theoretical density	4883	kg/m3
calculated volume	99	Å³ per cell

```
data_LiAlFe2
_cell_length_a 5.103
_cell_length_b 7.555
_cell_length_c 2.569
_cell_angle_alpha 90.00
_cell_angle_beta 90.31
_cell_angle_gamma 90.00
_space_group_name_H-M_alt 'C 1 2/m 1'
_space_group_IT_number 12
_space_group_name_Hall '-C 2y'
loop_
_atom_site_label
_atom_site_type_symbol
_atom_site_fract_x
_atom_site_fract_y
_atom_site_fract_z
Li1 Li 0.000 0.000 0.000
Al1 Al 0.000 0.500 0.000
Fe1 Fe 0.250 0.250 0.500
```